VASP calculation (PBE) on a geometry-optimized YIn2Pd structure.

Results
E_form ... -0.038 eV per atom
Fermi-level density of states ... 0.834 states/eV/atom
Final energy ... -4.32 eV/atom
Spin magnetization ... 0.00 μB/f.u.

abc: 3.3400 3.3400 31.3891
angles: 90.00 90.00 120.00
Space group R-3m (No. 166, hexagonal axes)
Asymmetric unit:
Y (0.0000, 0.0000, 0.0000) x3
In (0.0000, 0.0000, 0.1011) x6
Pd (0.0000, 0.0000, 0.5000) x3

***

VASP calculation (PBE) on a geometry-optimized MgZrHg2 structure.

Results
E_form ... -0.054 eV per atom
Fermi-level density of states ... 0.731 states/eV/atom
Final energy ... -2.74 eV/atom
Spin magnetization ... 0.00 μB/f.u.

abc: 3.297 5.031 10.688
angles: 90.00 90.00 90.00
Space group Imm2 (No. 44)
Asymmetric unit:
Mg (0.000, 0.000, 0.000) x2
Zr (0.000, 0.500, 0.241) x2
Hg (0.000, 0.000, 0.500) x2
Hg (0.000, 0.500, 0.754) x2

***

VASP calculation (PBE) on a geometry-optimized UV2Ga structure.

Results
E_form ... 0.129 eV per atom
Fermi-level density of states ... 1.955 states/eV/atom
Final energy ... -8.01 eV/atom
Spin magnetization ... 0.26 μB/f.u.

abc: 3.248 3.248 6.029
angles: 90.00 90.00 90.00
Space group P4/mmm (No. 123)
Asymmetric unit:
U (0.000, 0.000, 0.000) x1
V (0.500, 0.500, 0.230) x2
Ga (0.000, 0.000, 0.500) x1

***

VASP calculation (PBE) on a geometry-optimized Ca2Zn3Au5 structure.

Results
E_form ... -0.493 eV per atom
Fermi-level density of states ... 0.312 states/eV/atom
Final energy ... -2.91 eV/atom
Spin magnetization ... 0.00 μB/f.u.

abc: 10.573 13.331 5.854
angles: 90.00 90.00 90.00
Space group Ibam (No. 72)
Asymmetric unit:
Ca (0.224, 0.142, 0.000) x8
Zn (0.000, 0.500, 0.250) x4
Zn (0.088, 0.149, 0.500) x8
Au (0.000, 0.000, 0.250) x4
Au (0.000, 0.294, 0.250) x8
Au (0.185, 0.417, 0.000) x8

***

VASP calculation (PBE) on a geometry-optimized TmZr2Tl structure.

Results
E_form ... -0.079 eV per atom
Fermi-level density of states ... 1.197 states/eV/atom
Final energy ... -6.06 eV/atom
Spin magnetization ... 0.00 μB/f.u.

abc: 4.554 4.554 4.601
angles: 90.00 90.00 90.00
Space group P4/mmm (No. 123)
Asymmetric unit:
Tm (0.000, 0.000, 0.000) x1
Zr (0.000, 0.500, 0.500) x2
Tl (0.500, 0.500, 0.000) x1

***

VASP calculation (PBE) on a geometry-optimized Cs2ZnBi2 structure.

Results
E_form ... -0.027 eV per atom
Fermi-level density of states ... 0.422 states/eV/atom
Final energy ... -2.18 eV/atom
Spin magnetization ... 0.00 μB/f.u.

abc: 11.233 11.233 3.796
angles: 90.00 90.00 90.00
Space group P4/mbm (No. 127)
Asymmetric unit:
Cs (0.199, 0.301, 0.000) x4
Zn (0.000, 0.000, 0.500) x2
Bi (0.093, 0.593, 0.500) x4